# 1
A relaxed KSrBi2 crystal, computed with PBE.

The structure in POSCAR format:
```
KSrBi2
1.0
0.000 4.172 4.172
4.172 0.000 4.172
4.172 4.172 0.000
K Bi Sr
1 2 1
direct
0.000 0.000 0.000
0.750 0.750 0.750
0.250 0.250 0.250
0.500 0.500 0.500
```

Calculated values
The calculation puts the formation energy at -1.75 eV/f.u. For the magnetization, the calculation gives 0.00 μB per formula unit. As for the density of states at the Fermi level: 2.82 states/eV/f.u.

***

# 2
A relaxed KSr2Bi2 crystal, computed with PBE.

The structure in POSCAR format:
```
KSr2Bi2
1.0
-0.960 -2.599 -5.701
-2.069 -5.313 2.770
-7.301 -1.724 -1.508
Sr Bi K
2 2 1
direct
0.321 0.321 0.359
0.679 0.679 0.641
0.750 0.250 0.500
0.250 0.750 0.500
0.000 0.000 0.000
```

Calculated values
The calculation puts the formation energy at -2.11 eV/f.u. For the magnetization, the calculation gives 0.00 μB per formula unit. As for the density of states at the Fermi level: 2.76 states/eV/f.u.

***

# 3
A relaxed KSrTa2Bi crystal, computed with PBE.

The structure in POSCAR format:
```
KSrTa2Bi
1.0
5.028 0.000 0.000
0.000 5.502 0.000
0.000 0.000 5.028
Bi K Ta Sr
1 1 2 1
direct
0.500 0.500 0.500
0.000 0.000 0.000
0.000 0.000 0.500
0.500 0.000 0.000
0.000 0.500 0.000
```

Calculated values
The calculation puts the formation energy at 11.39 eV/f.u. For the magnetization, the calculation gives 2.34 μB per formula unit. As for the density of states at the Fermi level: 5.54 states/eV/f.u.

***

Q: What is the magnetization in the second record?
A: 0.00 μB per formula unit

***

Q: What is the formula in the third record?
A: KSrTa2Bi